A relaxed structure of LiAc3Pr3Se8. Source: Alexandria, functional PBE.

Size of the total moment = 0.00 μB/atom
Raw formation energy = -1828 meV per atom
D(E_F) = 0.317 states/eV/atom

Cell lengths 8.6245, 8.6245, 8.6951 Å; angles 119.73, 90.00, 120.00 degrees
Last column: nearest neighbours and their distance in Å.
Positions (direct):
Se (0.2542, 0.5084, 0.2627)  3 Pr 3.01, 3 Ac 3.12
Se (0.2494, 0.0077, 0.2659)  1 Li 2.96, 2 Pr 3.02, 2 Ac 3.11
Se (0.7582, 0.0077, 0.2659)  1 Li 2.96, 2 Pr 3.02, 2 Ac 3.11
Se (0.7458, 0.4916, 0.7373)  3 Pr 3.01, 3 Ac 3.12
Se (0.7584, 0.5167, 0.2660)  1 Li 2.96, 2 Pr 3.02, 2 Ac 3.11
Se (0.2418, 0.9923, 0.7341)  1 Li 2.96, 2 Pr 3.02, 2 Ac 3.11
Se (0.7506, 0.9923, 0.7341)  1 Li 2.96, 2 Pr 3.02, 2 Ac 3.11
Se (0.2416, 0.4833, 0.7340)  1 Li 2.96, 2 Pr 3.02, 2 Ac 3.11
Pr (0.5000, 0.0000, 0.5000)  6 Se 3.01-3.02
Pr (0.0000, 0.5000, 0.5000)  6 Se 3.01-3.02
Pr (0.5000, 0.5000, 0.5000)  6 Se 3.01-3.02
Ac (0.0000, 0.0000, 0.0000)  6 Se 3.11-3.12
Ac (0.0000, 0.5000, 0.0000)  6 Se 3.11-3.12
Ac (0.5000, 0.5000, 0.0000)  6 Se 3.11-3.12
Li (0.0000, 0.0000, 0.5000)  6 Se 2.96